# 1
First-principles (PBE-GGA) data for SiRuCl2 after structural relaxation, as listed in Alexandria.

Lattice parameters (Å, degrees): 4.2709 4.2709 7.1890 90.00 90.00 90.00
Space group I-4m2 (No. 119)
Unique sites:
Si: 0.0000 0.0000 0.0000
Ru: 0.0000 0.5000 0.2500
Cl: 0.0000 0.0000 0.5000
Cl: 0.0000 0.5000 0.7500

Output
**Formation energy (no corrections)**: 2.7 eV per formula unit
**Calculated volume**: 16.39 Å³/atom
**Total magnetic moment**: 1.33 μB per cell

=====

# 2
First-principles (PBE-GGA) data for La2CeBi3 after structural relaxation, as listed in Alexandria.

Lattice parameters (Å, degrees): 4.6736 6.6078 14.0237 90.00 90.00 90.00
Space group Immm (No. 71)
Unique sites:
La: 0.0000 0.0000 0.1674
Ce: 0.0000 0.0000 0.5000
Bi: 0.0000 0.5000 0.1628
Bi: 0.0000 0.5000 0.5000

Output
**Calculated volume**: 36.09 Å³/atom
**Total magnetic moment**: 1.62 μB per cell
**Energy relative to the elements**: -0.969 eV/atom

=====

# 3
First-principles (PBE-GGA) data for Tb2Ho8Zr after structural relaxation, as listed in Alexandria.

Lattice parameters (Å, degrees): 17.8136 4.9366 7.8268 90.00 105.22 90.00
Space group C2/m (No. 12)
Unique sites:
Tb: 0.2262 0.0000 0.1346
Ho: 0.0441 0.0000 0.2367
Ho: 0.0889 0.5000 0.9440
Ho: 0.1317 0.0000 0.6745
Ho: 0.1787 0.5000 0.4098
Zr: 0.0000 0.5000 0.5000

Output
**Calculated volume**: 30.19 Å³/atom
**Total magnetic moment**: 0.00 μB per cell
**Energy relative to the elements**: 0.041 eV/atom

=====

# 4
First-principles (PBE-GGA) data for PmPuTe2Br after structural relaxation, as listed in Alexandria.

Lattice parameters (Å, degrees): 4.5077 4.5077 15.2185 90.00 90.00 90.00
Space group P4/nmm (No. 129, origin choice 2)
Unique sites:
Pm: 0.2500 0.2500 0.0958
Pu: 0.2500 0.2500 0.6373
Te: 0.2500 0.2500 0.2998
Te: 0.2500 0.2500 0.8844
Br: 0.2500 0.7500 0.5000

Output
**Formation energy (no corrections)**: -6.4 eV per formula unit
**Calculated volume**: 30.92 Å³/atom
**Total magnetic moment**: 10.83 μB per cell

=====

# 5
First-principles (PBE-GGA) data for Y5Mo after structural relaxation, as listed in Alexandria.

Lattice parameters (Å, degrees): 6.1384 6.1384 5.8433 90.00 90.00 120.00
Space group P6/mmm (No. 191)
Unique sites:
Y: 0.0000 0.5000 0.0000
Y: 0.3333 0.6667 0.5000
Mo: 0.0000 0.0000 0.5000

Output
**Calculated volume**: 31.78 Å³/atom
**Total magnetic moment**: 2.44 μB per cell
**Energy relative to the elements**: 0.958 eV/atom

=====

# 6
First-principles (PBE-GGA) data for Sc4CdAu after structural relaxation, as listed in Alexandria.

Lattice parameters (Å, degrees): 4.7428 4.7428 23.3306 90.00 90.00 120.00
Space group R-3m (No. 166, hexagonal axes)
Unique sites:
Sc: 0.0000 0.0000 0.1197
Sc: 0.0000 0.0000 0.3706
Cd: 0.0000 0.0000 0.5000
Au: 0.0000 0.0000 0.0000

Output
**Calculated volume**: 25.26 Å³/atom
**Total magnetic moment**: 0.00 μB per cell
**Energy relative to the elements**: -0.133 eV/atom

=====

What did the sixth record say?
First-principles (PBE-GGA) data for Sc4CdAu after structural relaxation, as listed in Alexandria.

Lattice parameters (Å, degrees): 4.7428 4.7428 23.3306 90.00 90.00 120.00
Space group R-3m (No. 166, hexagonal axes)
Unique sites:
Sc: 0.0000 0.0000 0.1197
Sc: 0.0000 0.0000 0.3706
Cd: 0.0000 0.0000 0.5000
Au: 0.0000 0.0000 0.0000

Output
**Calculated volume**: 25.26 Å³/atom
**Total magnetic moment**: 0.00 μB per cell
**Energy relative to the elements**: -0.133 eV/atom